(1)
Material: Pm3TlRh
Method: DFT, PBE
State: relaxed

Calculated values
The calculation puts the energy of formation from the pure elements at -0.28 eV per atom. As for the energy above the lowest structure with this stoichiometry: 200 meV per atom.

```
Pm3TlRh
1.0
5.453 0.000 0.000
0.000 5.453 0.000
0.000 0.000 5.453
Tl Rh Pm
1 1 3
direct
0.500 0.500 0.500
0.000 0.000 0.000
0.000 0.500 0.000
0.000 0.000 0.500
0.500 0.000 0.000
```

=====

(2)
Material: PuCu2Cl8
Method: DFT, PBE
State: relaxed

Calculated values
As for the energy above the lowest structure with this stoichiometry: 56 meV per atom.

```
PuCu2Cl8
1.0
-1.505 -5.751 2.453
4.359 -3.881 -5.018
7.183 -1.485 2.332
Pu Cu Cl
1 2 8
direct
0.000 0.000 0.000
0.287 0.203 0.203
0.713 0.797 0.797
0.824 0.101 0.674
0.176 0.326 0.899
0.684 0.128 0.128
0.316 0.872 0.872
0.824 0.674 0.101
0.176 0.899 0.326
0.343 0.361 0.361
0.657 0.639 0.639
```

=====

(3)
Material: Zn5Cu4Ir
Method: DFT, PBE
State: relaxed

Calculated values
The calculation puts the energy of formation from the pure elements at -0.11 eV per atom. As for the energy above the lowest structure with this stoichiometry: 0 meV per atom.

```
Zn5Cu4Ir
1.0
3.016 0.000 0.000
0.000 3.016 0.000
0.000 0.000 14.561
Zn Cu Ir
5 4 1
direct
0.500 0.500 0.104
0.500 0.500 0.303
0.500 0.500 0.500
0.500 0.500 0.697
0.500 0.500 0.896
0.000 0.000 0.204
0.000 0.000 0.401
0.000 0.000 0.599
0.000 0.000 0.796
0.000 0.000 0.000
```

=====

(4)
Material: La3Tb2ScTe6
Method: DFT, PBE
State: relaxed

Calculated values
As for the total energy: -5.517 eV per atom.

```
La3Tb2ScTe6
1.0
-2.594 2.784 -2.240
-1.912 -6.493 -5.856
-5.550 -2.281 7.943
La Tb Sc Te
3 2 1 6
direct
0.500 0.500 0.000
0.829 0.165 0.659
0.171 0.835 0.341
0.833 0.667 0.667
0.167 0.333 0.333
0.500 0.000 0.000
0.343 0.912 0.685
0.670 0.575 0.340
0.657 0.088 0.315
0.001 0.230 0.003
0.999 0.770 0.997
0.330 0.425 0.660
```

=====

(5)
Material: HfAl3Mo
Method: DFT, PBE
State: relaxed

Calculated values
The calculation puts the energy of formation from the pure elements at 0.55 eV per atom. As for the energy above the lowest structure with this stoichiometry: 619 meV per atom.

```
HfAl3Mo
1.0
4.682 0.000 0.000
0.000 4.682 0.000
0.000 0.000 4.682
Mo Hf Al
1 1 3
direct
0.000 0.000 0.000
0.500 0.500 0.500
0.000 0.500 0.000
0.000 0.000 0.500
0.500 0.000 0.000
```

=====

(6)
Material: NaEuSF
Method: DFT, PBE
State: relaxed

Calculated values
As for the total energy: -6.522 eV per atom.

```
NaEuSF
1.0
4.764 0.000 0.000
2.382 4.126 0.000
2.382 1.375 3.890
Eu Na S F
1 1 1 1
direct
0.500 0.500 0.500
0.000 0.000 0.000
0.750 0.750 0.750
0.250 0.250 0.250
```